A plane-wave DFT calculation with GGA-PBEsol was carried out for a geometry-optimized ZrAg2Au structure.

Values from the calculation:
Offset from the most stable computed form = 0.00 eV/f.u.
Calculated density = 11.81 g/cm3
Formation energy = -0.25 eV/atom

Cell and atoms, written as extended XYZ:
```
4
Lattice="4.645 0.000 0.000 2.323 4.023 0.000 2.323 1.341 3.793" Properties=species:S:1:pos:R:3 pbc="T T T"
Zr 2.323 1.341 0.948
Ag 6.968 4.023 2.845
Au 4.645 2.682 1.896
Ag 0.000 0.000 0.000
```


A plane-wave DFT calculation with GGA-PBEsol was carried out for a geometry-optimized LiBPb2 structure.

Values from the calculation:
Calculated density = 8.34 g/cm3
Formation energy = 0.45 eV/atom

Cell and atoms, written as extended XYZ:
```
8
Lattice="4.852 0.000 0.000 2.426 5.955 0.000 2.426 0.000 5.955" Properties=species:S:1:pos:R:3 pbc="T T T"
B 6.064 2.978 2.978
Pb 5.458 3.659 5.273
B 0.000 0.000 0.000
Pb 1.819 0.682 3.659
Li 3.639 2.978 2.978
Pb 5.458 2.296 0.682
Pb 6.671 5.273 2.296
Li 2.426 0.000 0.000
```


A plane-wave DFT calculation with GGA-PBEsol was carried out for a geometry-optimized LiMoP3 structure.

Values from the calculation:
Calculated density = 3.19 g/cm3
Formation energy = 0.22 eV/atom

Cell and atoms, written as extended XYZ:
```
5
Lattice="-1.991 -0.269 -4.218 4.223 0.089 -1.999 0.196 -4.664 0.206" Properties=species:S:1:pos:R:3 pbc="T T T"
P 2.111 0.045 -0.999
P 0.098 -2.332 0.103
P -0.996 -0.135 -2.109
Li 1.213 -2.422 -3.006
Mo 0.000 0.000 0.000
```


A plane-wave DFT calculation with GGA-PBEsol was carried out for a geometry-optimized Li2MnBe structure.

Values from the calculation:
Calculated density = 2.83 g/cm3
Formation energy = 0.23 eV/atom

Cell and atoms, written as extended XYZ:
```
4
Lattice="2.336 0.000 0.000 0.000 2.336 0.000 0.000 0.000 8.366" Properties=species:S:1:pos:R:3 pbc="T T T"
Li 0.000 0.000 8.109
Li 1.168 1.168 2.294
Be 1.168 1.168 6.096
Mn 0.000 0.000 4.415
```


A plane-wave DFT calculation with GGA-PBEsol was carried out for a geometry-optimized Hg4PSe structure.

Values from the calculation:
Energy relative to the elements, uncorrected = 592 meV per atom
Calculated density = 11.38 g/cm3

Cell and atoms, written as extended XYZ:
```
6
Lattice="5.732 0.000 0.000 2.866 4.964 0.000 2.866 1.655 4.680" Properties=species:S:1:pos:R:3 pbc="T T T"
P 8.598 4.964 3.510
Hg 4.299 2.482 1.755
Hg 7.164 2.482 1.755
Se 0.000 0.000 0.000
Hg 5.732 4.964 1.755
Hg 5.732 3.309 4.095
```


A plane-wave DFT calculation with GGA-PBEsol was carried out for a geometry-optimized CdTe2ICl structure.

Values from the calculation:
Energy relative to the elements, uncorrected = 440 meV per atom
Calculated density = 5.17 g/cm3

Cell and atoms, written as extended XYZ:
```
5
Lattice="-2.023 -5.011 -1.141 1.511 0.592 -5.280 4.964 -2.269 1.166" Properties=species:S:1:pos:R:3 pbc="T T T"
I 2.482 -1.135 0.583
Te -1.012 -2.506 -0.571
Cl 2.226 -3.344 -2.627
Te 0.755 0.296 -2.640
Cd 0.000 0.000 0.000
```


The evaluated E for the records listed, in turn: -5.154, -3.790, -6.000, -4.189, -1.393, -1.964 eV/atom.